[1]
Compound: SbCIN2
Source: Alexandria
Functional: PBE
Structure: relaxed

Summary:
formation energy from raw total energies	2.583	eV/atom
polymorph energy (0 for the lowest one)	274.5	meV per atom
calculated total energy	-18.6	eV/f.u.
space-group type	P4/mmm

a = 4.1107 Å, b = 4.1107 Å, c = 4.3091 Å
α = 90.00°, β = 90.00°, γ = 90.00°
With the nearest neighbours (Å) after each atom.
Sites, in units of the cell vectors:
1 I 0.0000 0.0000 0.5000  2 C 2.15
2 Sb 0.5000 0.5000 0.5000  4 I 2.91, 8 N 2.98
3 C 0.0000 0.0000 0.0000  4 N 2.06, 2 I 2.15
4 N 0.0000 0.5000 0.0000  2 C 2.06
5 N 0.5000 0.0000 0.0000  2 C 2.06

[2]
Compound: SbCI2N
Source: Alexandria
Functional: PBE
Structure: relaxed

Summary:
formation energy from raw total energies	2.000	eV/atom
polymorph energy (0 for the lowest one)	1091.7	meV per atom
calculated total energy	-14.8	eV/f.u.
space-group type	P4/mmm

a = 6.0628 Å, b = 6.0628 Å, c = 3.9505 Å
α = 90.00°, β = 90.00°, γ = 90.00°
With the nearest neighbours (Å) after each atom.
Sites, in units of the cell vectors:
1 I 0.0000 0.5000 0.0000  2 Sb 3.03
2 I 0.5000 0.0000 0.0000  2 Sb 3.03
3 Sb 0.0000 0.0000 0.0000  2 N 1.98
4 C 0.5000 0.5000 0.5000  8 I 3.62, 2 C 3.95
5 N 0.0000 0.0000 0.5000  2 Sb 1.98

[3]
Compound: SbCI2N
Source: Alexandria
Functional: PBE
Structure: relaxed

Summary:
formation energy from raw total energies	1.984	eV/atom
polymorph energy (0 for the lowest one)	1075.7	meV per atom
calculated total energy	-14.9	eV/f.u.
space-group type	P4/mmm

a = 5.3021 Å, b = 5.3021 Å, c = 4.6039 Å
α = 90.00°, β = 90.00°, γ = 90.00°
With the nearest neighbours (Å) after each atom.
Sites, in units of the cell vectors:
1 I 0.0000 0.5000 0.0000  2 C 2.65
2 I 0.5000 0.0000 0.0000  2 C 2.65
3 Sb 0.0000 0.0000 0.5000  2 C 2.30
4 C 0.0000 0.0000 0.0000  2 Sb 2.30
5 N 0.5000 0.5000 0.5000  8 I 3.51, 4 Sb 3.75

[4]
Compound: ScCI2N
Source: Alexandria
Functional: PBE
Structure: relaxed

Summary:
formation energy from raw total energies	1.089	eV/atom
polymorph energy (0 for the lowest one)	0.0	meV per atom
calculated total energy	-21.5	eV/f.u.
space-group type	P4/mmm

a = 5.9732 Å, b = 5.9732 Å, c = 3.0122 Å
α = 90.00°, β = 90.00°, γ = 90.00°
With the nearest neighbours (Å) after each atom.
Sites, in units of the cell vectors:
1 I 0.0000 0.5000 0.0000  2 C 2.99, 2 I 3.01, 4 Sc 3.34, 4 N 3.34
2 I 0.5000 0.0000 0.0000  2 C 2.99, 2 I 3.01, 4 N 3.34, 4 Sc 3.34
3 Sc 0.5000 0.5000 0.5000  2 Sc 3.01, 8 I 3.34
4 C 0.0000 0.0000 0.0000  2 N 1.51
5 N 0.0000 0.0000 0.5000  2 C 1.51

[5]
Compound: ScCI2N
Source: Alexandria
Functional: PBE
Structure: relaxed

Summary:
formation energy from raw total energies	1.376	eV/atom
polymorph energy (0 for the lowest one)	286.4	meV per atom
calculated total energy	-20.1	eV/f.u.
space-group type	P4/mmm

a = 5.7839 Å, b = 5.7839 Å, c = 3.9200 Å
α = 90.00°, β = 90.00°, γ = 90.00°
With the nearest neighbours (Å) after each atom.
Sites, in units of the cell vectors:
1 I 0.0000 0.5000 0.0000  2 Sc 2.89
2 I 0.5000 0.0000 0.0000  2 Sc 2.89
3 Sc 0.0000 0.0000 0.0000  2 N 1.96
4 C 0.5000 0.5000 0.5000  8 I 3.49
5 N 0.0000 0.0000 0.5000  2 Sc 1.96

[6]
Compound: SiCI2N
Source: Alexandria
Functional: PBE
Structure: relaxed

Summary:
formation energy from raw total energies	1.539	eV/atom
polymorph energy (0 for the lowest one)	411.5	meV per atom
calculated total energy	-18.4	eV/f.u.
space-group type	P4/mmm

a = 5.8405 Å, b = 5.8405 Å, c = 3.2611 Å
α = 90.00°, β = 90.00°, γ = 90.00°
With the nearest neighbours (Å) after each atom.
Sites, in units of the cell vectors:
1 I 0.0000 0.5000 0.0000  2 Si 2.92, 2 I 3.26
2 I 0.5000 0.0000 0.0000  2 Si 2.92, 2 I 3.26
3 Si 0.0000 0.0000 0.0000  2 N 1.63
4 C 0.5000 0.5000 0.5000  2 C 3.26, 8 I 3.34
5 N 0.0000 0.0000 0.5000  2 Si 1.63

[7]
Compound: SiCI2N
Source: Alexandria
Functional: PBE
Structure: relaxed

Summary:
formation energy from raw total energies	1.127	eV/atom
polymorph energy (0 for the lowest one)	0.0	meV per atom
calculated total energy	-20.4	eV/f.u.
space-group type	P4/mmm

a = 7.4069 Å, b = 7.4069 Å, c = 2.6169 Å
α = 90.00°, β = 90.00°, γ = 90.00°
With the nearest neighbours (Å) after each atom.
Sites, in units of the cell vectors:
1 I 0.0000 0.5000 0.0000  2 I 2.62
2 I 0.5000 0.0000 0.0000  2 I 2.62
3 Si 0.5000 0.5000 0.5000  2 Si 2.62
4 C 0.0000 0.0000 0.0000  2 N 1.31
5 N 0.0000 0.0000 0.5000  2 C 1.31

[8]
Compound: Sm6CI3N2
Source: Alexandria
Functional: PBE
Structure: relaxed

Summary:
formation energy from raw total energies	-1.057	eV/atom
calculated total energy	-71.5	eV/f.u.
space-group type	C2/m

a = 6.5704 Å, b = 6.5704 Å, c = 7.8707 Å
α = 98.00°, β = 98.00°, γ = 120.00°
With the nearest neighbours (Å) after each atom.
Sites, in units of the cell vectors:
1 Sm 0.9438 0.6082 0.8313  2 N 2.53, 1 C 2.55
2 Sm 0.7206 0.7206 0.1684  2 N 2.53, 1 C 2.55
3 Sm 0.0562 0.3918 0.1687  2 N 2.53, 1 C 2.55
4 Sm 0.6082 0.9438 0.8313  2 N 2.53, 1 C 2.55
5 Sm 0.2794 0.2794 0.8316  2 N 2.53, 1 C 2.55
6 Sm 0.3918 0.0562 0.1687  2 N 2.53, 1 C 2.55
7 C 0.0000 0.0000 0.0000  6 Sm 2.55
8 I 0.1656 0.8344 0.5000  6 Sm 3.32-3.33
9 I 0.8344 0.1656 0.5000  6 Sm 3.32-3.33
10 I 0.5000 0.5000 0.5000  6 Sm 3.32-3.33
11 N 0.3332 0.6668 0.0000  6 Sm 2.53
12 N 0.6668 0.3332 0.0000  6 Sm 2.53

D(E_F) values (in states/eV/atom) by entry order: 0.602; 1.085; 0.342; 0.490; 1.647; 0.640; 0.765; 0.318.